VASP calculation (PBE-GGA) on an optimized crystal structure of MnInN3.

Results
Its energy relative to the elements, uncorrected is 428 kJ/mol of formula units. The value obtained for the density is 6.69 Mg/m³.

Lattice parameters (Å, degrees): 3.747 3.747 3.747 90.00 90.00 90.00
Element x y z (fractional)
N 0.000 0.500 0.000
N 0.000 0.000 0.500
N 0.500 0.000 0.000
Mn 0.000 0.000 0.000
In 0.500 0.500 0.500

***

VASP calculation (PBE-GGA) on an optimized crystal structure of MnInN3.

Results
Its energy relative to the elements, uncorrected is 1235 kJ/mol of formula units. The value obtained for the density is 5.20 Mg/m³.

Lattice parameters (Å, degrees): 4.073 4.073 4.073 90.00 90.00 90.00
Site moments in Bohr magnetons follow the coordinates.
Element x y z (fractional)
N 0.500 0.000 0.000  0.02
N 0.000 0.500 0.000  0.05
N 0.000 0.000 0.500  0.06
Mn 0.500 0.500 0.500  0.19
In 0.000 0.000 0.000  0.01

***

VASP calculation (PBE-GGA) on an optimized crystal structure of Mn3InN3.

Results
Its energy relative to the elements, uncorrected is 62 kJ/mol of formula units. The value obtained for the density is 5.44 Mg/m³. As for the offset from the most stable computed form: 156 meV per atom.

Lattice parameters (Å, degrees): 8.736 8.736 2.973 90.00 90.00 120.00
Element x y z (fractional)
Mn 0.656 0.808 0.750
Mn 0.192 0.848 0.750
Mn 0.848 0.656 0.250
Mn 0.808 0.152 0.250
Mn 0.344 0.192 0.250
Mn 0.152 0.344 0.750
N 0.323 0.293 0.750
N 0.293 0.969 0.250
N 0.677 0.707 0.250
N 0.707 0.031 0.750
N 0.969 0.677 0.750
N 0.031 0.323 0.250
In 0.667 0.333 0.750
In 0.333 0.667 0.250

***

VASP calculation (PBE-GGA) on an optimized crystal structure of Mn5In3N12.

Results
Its energy relative to the elements, uncorrected is 635 kJ/mol of formula units. The value obtained for the density is 5.92 Mg/m³.

Lattice parameters (Å, degrees): 10.470 10.470 10.470 109.47 109.47 109.47
Site moments in Bohr magnetons follow the coordinates.
Element x y z (fractional)
N 0.095 0.907 0.111  -0.07
N 0.204 0.517 0.611  -0.07
N 0.017 0.611 0.704  -0.07
N 0.095 0.187 0.483  -0.07
N 0.813 0.907 0.296  -0.07
N 0.389 0.405 0.093  -0.07
N 0.389 0.983 0.796  -0.07
N 0.296 0.889 0.983  -0.07
N 0.517 0.204 0.111  -0.07
N 0.405 0.389 0.593  -0.07
N 0.313 0.517 0.405  -0.07
N 0.907 0.095 0.611  -0.07
N 0.093 0.187 0.204  -0.07
N 0.407 0.111 0.595  -0.07
N 0.517 0.313 0.905  -0.07
N 0.983 0.595 0.187  -0.07
N 0.796 0.313 0.907  -0.07
N 0.889 0.296 0.483  -0.07
N 0.983 0.389 0.296  -0.07
N 0.187 0.095 0.983  -0.07
N 0.905 0.813 0.517  -0.07
N 0.611 0.595 0.907  -0.07
N 0.907 0.813 0.796  -0.07
N 0.905 0.093 0.889  -0.07
N 0.407 0.296 0.313  -0.07
N 0.704 0.593 0.187  -0.07
N 0.093 0.905 0.389  -0.07
N 0.296 0.407 0.813  -0.07
N 0.017 0.405 0.813  -0.07
N 0.204 0.687 0.093  -0.07
N 0.687 0.483 0.595  -0.07
N 0.483 0.796 0.889  -0.07
N 0.593 0.889 0.405  -0.07
N 0.595 0.983 0.687  -0.07
N 0.483 0.687 0.095  -0.07
N 0.111 0.704 0.517  -0.07
N 0.313 0.796 0.407  -0.07
N 0.889 0.593 0.905  -0.07
N 0.405 0.017 0.313  -0.07
N 0.687 0.204 0.593  -0.07
N 0.796 0.483 0.389  -0.07
N 0.813 0.905 0.017  -0.07
N 0.111 0.407 0.095  -0.07
N 0.611 0.017 0.204  -0.07
N 0.704 0.111 0.017  -0.07
N 0.595 0.611 0.407  -0.07
N 0.593 0.704 0.687  -0.07
N 0.187 0.093 0.704  -0.07
In 0.125 0.250 0.875  0.07
In 0.875 0.125 0.250  0.07
In 0.750 0.875 0.625  0.07
In 0.625 0.375 0.750  0.07
In 0.125 0.875 0.750  0.07
In 0.250 0.625 0.875  0.07
In 0.875 0.750 0.125  0.07
In 0.625 0.250 0.375  0.07
In 0.375 0.750 0.625  0.07
In 0.750 0.375 0.125  0.07
In 0.250 0.125 0.375  0.07
In 0.375 0.625 0.250  0.07
Mn 0.750 0.125 0.875  0.77
Mn 0.750 0.625 0.375  0.77
Mn 0.250 0.375 0.625  0.77
Mn 0.375 0.125 0.750  0.77
Mn 0.500 0.000 0.000  2.67
Mn 0.500 0.500 0.000  2.67
Mn 0.375 0.250 0.125  0.77
Mn 0.625 0.750 0.875  0.77
Mn 0.000 0.500 0.000  2.67
Mn 0.125 0.375 0.250  0.77
Mn 0.500 0.000 0.500  2.67
Mn 0.875 0.250 0.625  0.77
Mn 0.000 0.500 0.500  2.67
Mn 0.000 0.000 0.500  2.67
Mn 0.500 0.500 0.500  2.67
Mn 0.875 0.625 0.750  0.77
Mn 0.000 0.000 0.000  2.67
Mn 0.250 0.875 0.125  0.77
Mn 0.625 0.875 0.250  0.77
Mn 0.125 0.750 0.375  0.77